# Pm3C

A relaxed Pm3C crystal (PBE, Alexandria).

Summary:
Formation enthalpy at 0 K (kJ/mol of atoms): 12
E above lowest polymorph (meV per atom): 90.1

```
data_Pm3C
_symmetry_space_group_name_H-M 'I m m 2'
_symmetry_Int_Tables_number 44
_symmetry_space_group_name_Hall 'I 2 -2'
_cell_length_a 3.4072
_cell_length_b 10.3710
_cell_length_c 6.1857
_cell_angle_alpha 90.00
_cell_angle_beta 90.00
_cell_angle_gamma 90.00
loop_
_atom_site_label
_atom_site_type_symbol
_atom_site_fract_x
_atom_site_fract_y
_atom_site_fract_z
Pm1 Pm 0.0000 0.0000 0.0000
Pm2 Pm 0.0000 0.1610 0.5418
C1 C 0.0000 0.5000 0.1997
```